No. 1
# HgGeTe2, relaxed, DFT PBE
# Relative energy among the computed polymorphs = 286 meV per atom
# DOS at the Fermi energy = 8.849 states/eV per cell
data_HgGeTe2
_cell_length_a 7.478
_cell_length_b 7.478
_cell_length_c 7.478
_cell_angle_alpha 90.00
_cell_angle_beta 90.00
_cell_angle_gamma 90.00
_space_group_name_H-M_alt 'F m -3 m'
_space_group_IT_number 225
_space_group_name_Hall '-F 4 2 3'
loop_
_atom_site_label
_atom_site_type_symbol
_atom_site_fract_x
_atom_site_fract_y
_atom_site_fract_z
Hg1 Hg 0.000 0.000 0.000
Ge1 Ge 0.000 0.000 0.500
Te1 Te 0.250 0.250 0.250


No. 2
# Hg3Ge5Te12, relaxed, DFT PBE
# DOS at the Fermi energy = 131.592 states/eV per cell
data_Hg3Ge5Te12
_cell_length_a 17.330
_cell_length_b 17.330
_cell_length_c 17.330
_cell_angle_alpha 90.00
_cell_angle_beta 90.00
_cell_angle_gamma 90.00
_space_group_name_H-M_alt 'I a -3 d'
_space_group_IT_number 230
_space_group_name_Hall '-I 4bd 2c 3'
loop_
_atom_site_label
_atom_site_type_symbol
_atom_site_fract_x
_atom_site_fract_y
_atom_site_fract_z
Hg1 Hg 0.000 0.250 0.125
Ge1 Ge 0.000 0.000 0.000
Ge2 Ge 0.000 0.250 0.375
Te1 Te 0.034 0.071 0.649


No. 3
# Hg2GeTe3, relaxed, DFT PBE
# DOS at the Fermi energy = 1.376 states/eV per cell
data_Hg2GeTe3
_cell_length_a 4.8829
_cell_length_b 4.8829
_cell_length_c 10.4692
_cell_angle_alpha 90.00
_cell_angle_beta 90.00
_cell_angle_gamma 120.00
_space_group_name_H-M_alt 'P 3 m 1'
_space_group_IT_number 156
loop_
_space_group_symop_operation_xyz
'x,y,z'
'-y,x-y,z'
'-x+y,-x,z'
'-y,-x,z'
'-x+y,y,z'
'x,x-y,z'
loop_
_atom_site_label
_atom_site_type_symbol
_atom_site_fract_x
_atom_site_fract_y
_atom_site_fract_z
Hg1 Hg 0.0000 0.0000 0.0000
Hg2 Hg 0.3333 0.6667 0.6459
Ge1 Ge 0.6667 0.3333 0.3044
Te1 Te 0.0000 0.0000 0.2806
Te2 Te 0.3333 0.6667 0.9224
Te3 Te 0.6667 0.3333 0.5677


No. 4
# Th8HgGe3Te4, relaxed, DFT PBE
# DOS at the Fermi energy = 33.201 states/eV per cell
data_Th8HgGe3Te4
_cell_length_a 8.8106
_cell_length_b 8.8106
_cell_length_c 21.7985
_cell_angle_alpha 90.00
_cell_angle_beta 90.00
_cell_angle_gamma 120.00
_space_group_name_H-M_alt 'R -3 m'
_space_group_IT_number 166
_space_group_name_Hall '-R 3 2"'
loop_
_atom_site_label
_atom_site_type_symbol
_atom_site_fract_x
_atom_site_fract_y
_atom_site_fract_z
Th1 Th 0.0000 0.0000 0.2390
Th2 Th 0.0086 0.5043 0.7588
Hg1 Hg 0.0000 0.0000 0.5000
Ge1 Ge 0.0000 0.5000 0.5000
Te1 Te 0.0000 0.0000 0.0000
Te2 Te 0.0000 0.5000 0.0000


No. 5
# TlHgGeTe4, relaxed, DFT PBE
# DOS at the Fermi energy = 2.278 states/eV per cell
data_TlHgGeTe4
_cell_length_a 7.492
_cell_length_b 7.088
_cell_length_c 10.199
_cell_angle_alpha 90.00
_cell_angle_beta 105.58
_cell_angle_gamma 90.00
_space_group_name_H-M_alt 'P 1 21/m 1'
_space_group_IT_number 11
loop_
_space_group_symop_operation_xyz
'x,y,z'
'-x,-y,-z'
'-x,y+1/2,-z'
'x,-y+1/2,z'
loop_
_atom_site_label
_atom_site_type_symbol
_atom_site_fract_x
_atom_site_fract_y
_atom_site_fract_z
Tl1 Tl 0.187 0.250 0.029
Hg1 Hg 0.280 0.250 0.695
Ge1 Ge 0.239 0.750 0.292
Te1 Te 0.003 0.523 0.725
Te2 Te 0.378 0.750 0.083
Te3 Te 0.473 0.250 0.488


No. 6
# Tm6HgGe2Te3, relaxed, DFT PBE
# DOS at the Fermi energy = 12.083 states/eV per cell
data_Tm6HgGe2Te3
_cell_length_a 18.736
_cell_length_b 4.191
_cell_length_c 8.618
_cell_angle_alpha 90.00
_cell_angle_beta 106.64
_cell_angle_gamma 90.00
_space_group_name_H-M_alt 'C 1 2/m 1'
_space_group_IT_number 12
loop_
_space_group_symop_operation_xyz
'x,y,z'
'-x,-y,-z'
'-x,y,-z'
'x,-y,z'
'x+1/2,y+1/2,z'
'-x+1/2,-y+1/2,-z'
'-x+1/2,y+1/2,-z'
'x+1/2,-y+1/2,z'
loop_
_atom_site_label
_atom_site_type_symbol
_atom_site_fract_x
_atom_site_fract_y
_atom_site_fract_z
Tm1 Tm 0.006 0.000 0.250
Tm2 Tm 0.167 0.500 0.101
Tm3 Tm 0.175 0.500 0.560
Hg1 Hg 0.000 0.500 0.000
Ge1 Ge 0.165 0.000 0.327
Te1 Te 0.000 0.500 0.500
Te2 Te 0.166 0.000 0.828


No. 7
# Tm8HgGe3Te4, relaxed, DFT PBE
# DOS at the Fermi energy = 19.680 states/eV per cell
data_Tm8HgGe3Te4
_cell_length_a 8.4058
_cell_length_b 8.4058
_cell_length_c 21.1301
_cell_angle_alpha 90.00
_cell_angle_beta 90.00
_cell_angle_gamma 120.00
_space_group_name_H-M_alt 'R -3 m'
_space_group_IT_number 166
_space_group_name_Hall '-R 3 2"'
loop_
_atom_site_label
_atom_site_type_symbol
_atom_site_fract_x
_atom_site_fract_y
_atom_site_fract_z
Tm1 Tm 0.0000 0.0000 0.2384
Tm2 Tm 0.0113 0.5057 0.7580
Hg1 Hg 0.0000 0.0000 0.5000
Ge1 Ge 0.0000 0.5000 0.5000
Te1 Te 0.0000 0.0000 0.0000
Te2 Te 0.0000 0.5000 0.0000


No. 8
# ZrHg2GeTe, relaxed, DFT PBE
# DOS at the Fermi energy = 4.586 states/eV per cell
data_ZrHg2GeTe
_cell_length_a 5.080
_cell_length_b 5.080
_cell_length_c 5.428
_cell_angle_alpha 90.00
_cell_angle_beta 90.00
_cell_angle_gamma 90.00
_space_group_name_H-M_alt 'P 4/m m m'
_space_group_IT_number 123
_space_group_name_Hall '-P 4 2'
loop_
_atom_site_label
_atom_site_type_symbol
_atom_site_fract_x
_atom_site_fract_y
_atom_site_fract_z
Zr1 Zr 0.000 0.000 0.000
Hg1 Hg 0.000 0.500 0.500
Ge1 Ge 0.000 0.000 0.500
Te1 Te 0.500 0.500 0.000


Number 1: uncorrected energy -10.29 eV/f.u., calculated volume 26.1 A^3/atom, formation energy from raw total energies 0.91 eV/f.u.. Number 2: uncorrected energy -58.61 eV/f.u., calculated volume 32.5 A^3/atom, formation energy from raw total energies 3.08 eV/f.u.. Number 3: uncorrected energy -15.10 eV/f.u., calculated volume 36.0 A^3/atom, formation energy from raw total energies -0.45 eV/f.u.. Number 4: uncorrected energy -100.32 eV/f.u., calculated volume 30.5 A^3/atom, formation energy from raw total energies -14.24 eV/f.u.. Number 5: uncorrected energy -20.23 eV/f.u., calculated volume 37.3 A^3/atom, formation energy from raw total energies -0.38 eV/f.u.. Number 6: uncorrected energy -57.81 eV/f.u., calculated volume 27.0 A^3/atom, formation energy from raw total energies -12.02 eV/f.u.. Number 7: uncorrected energy -78.96 eV/f.u., calculated volume 26.9 A^3/atom, formation energy from raw total energies -16.46 eV/f.u.. Number 8: uncorrected energy -15.54 eV/f.u., calculated volume 28.0 A^3/atom, formation energy from raw total energies 1.37 eV/f.u..